{
  "formula": "Hf3Rh5",
  "functional": "PBEsol",
  "state": "optimized geometry",
  "lattice": [[-1.2184, -0.4602, -4.0137], [-4.6861, -2.4051, 1.6983], [-4.8122, 9.6280, 0.3569]],
  "species": ["Hf", "Hf", "Hf", "Hf", "Hf", "Hf", "Rh", "Rh", "Rh", "Rh", "Rh", "Rh", "Rh", "Rh", "Rh", "Rh"],
  "frac_coords": [[0.5000, 0.1592, 0.6454], [0.5000, 0.8408, 0.3546], [0.5000, 0.6592, 0.8546], [0.5000, 0.3408, 0.1454], [0.0000, 0.5000, 0.5000], [0.0000, 0.0000, 0.0000], [0.5000, 0.1847, 0.8924], [0.5000, 0.8153, 0.1076], [0.5000, 0.6847, 0.6076], [0.5000, 0.3153, 0.3924], [0.0000, 0.4041, 0.7434], [0.0000, 0.5959, 0.2566], [0.0000, 0.0000, 0.5000], [0.0000, 0.5000, 0.0000], [0.0000, 0.0959, 0.2434], [0.0000, 0.9041, 0.7566]],
  "energy_ev_per_fu": -79.43,
  "magmom_total_mub_per_atom": 0.000,
  "spacegroup": "Pbam, No. 55",
  "formation_enthalpy_0k_mev_per_atom": -904,
  "vol_a3_per_atom": 15.72
}


{
  "formula": "Hf3MgAg",
  "functional": "PBEsol",
  "state": "optimized geometry",
  "lattice": [[5.0523, 0.0000, 0.0000], [0.0000, 5.0523, 0.0000], [0.0000, 0.0000, 5.0523]],
  "species": ["Mg", "Hf", "Hf", "Hf", "Ag"],
  "frac_coords": [[0.5000, 0.5000, 0.5000], [0.0000, 0.5000, 0.0000], [0.0000, 0.0000, 0.5000], [0.5000, 0.0000, 0.0000], [0.0000, 0.0000, 0.0000]],
  "energy_ev_per_fu": -31.69,
  "magmom_total_mub_per_atom": 0.000,
  "spacegroup": "Pm-3m, No. 221",
  "formation_enthalpy_0k_mev_per_atom": 969,
  "vol_a3_per_atom": 25.79
}